(1)
The following is a PBE calculation of a relaxed structure of Rb4CdHg5, from the Alexandria database.

Results
As for the total energy: -0.8074 eV per atom. The magnetic moment comes out at 0.00 μB per cell. Its space group is No. 107. The calculation puts the formation energy at -0.178 eV/atom. The volume is 411 Å³/cell.

Geometry as CIF:
```
data_Rb4CdHg5
_space_group_name_H-M_alt 'P 1'
_space_group_IT_number 1
_space_group_name_Hall 'P 1'
_cell_length_a 8.835
_cell_length_b 8.835
_cell_length_c 8.835
_cell_angle_alpha 96.46
_cell_angle_beta 96.46
_cell_angle_gamma 140.80
loop_
_atom_site_label
_atom_site_type_symbol
_atom_site_fract_x
_atom_site_fract_y
_atom_site_fract_z
Rb1 Rb 0.000 0.285 0.285
Rb2 Rb 0.000 0.715 0.715
Rb3 Rb 0.285 0.000 0.285
Rb4 Rb 0.715 0.000 0.715
Cd1 Cd 0.293 0.293 0.000
Hg1 Hg 0.313 0.313 0.632
Hg2 Hg 0.313 0.681 0.000
Hg3 Hg 0.681 0.313 0.000
Hg4 Hg 0.681 0.681 0.368
Hg5 Hg 0.784 0.784 0.000
```

---

(2)
The following is a PBE calculation of a relaxed structure of Sc2CrP, from the Alexandria database.

Results
As for the total energy: -6.7732 eV per atom. The magnetic moment comes out at 0.00 μB per cell. Its space group is No. 122. The calculation puts the formation energy at 0.151 eV/atom. The volume is 289 Å³/cell.

Geometry as CIF:
```
data_Sc2CrP
_space_group_name_H-M_alt 'P 1'
_space_group_IT_number 1
_space_group_name_Hall 'P 1'
_cell_length_a 7.733
_cell_length_b 7.733
_cell_length_c 4.837
_cell_angle_alpha 90.00
_cell_angle_beta 90.00
_cell_angle_gamma 90.00
loop_
_atom_site_label
_atom_site_type_symbol
_atom_site_fract_x
_atom_site_fract_y
_atom_site_fract_z
Sc1 Sc 0.190 0.750 0.125
Sc2 Sc 0.250 0.190 0.875
Sc3 Sc 0.250 0.310 0.375
Sc4 Sc 0.310 0.750 0.625
Sc5 Sc 0.690 0.250 0.625
Sc6 Sc 0.750 0.690 0.375
Sc7 Sc 0.750 0.810 0.875
Sc8 Sc 0.810 0.250 0.125
Cr1 Cr 0.000 0.000 0.500
Cr2 Cr 0.000 0.500 0.750
Cr3 Cr 0.500 0.000 0.250
Cr4 Cr 0.500 0.500 0.000
P1 P 0.000 0.000 0.000
P2 P 0.000 0.500 0.250
P3 P 0.500 0.000 0.750
P4 P 0.500 0.500 0.500
```

---

(3)
The following is a PBE calculation of a relaxed structure of Nd8HoTm2, from the Alexandria database.

Results
As for the total energy: -4.5393 eV per atom. The magnetic moment comes out at 0.00 μB per cell. Its space group is No. 12. The calculation puts the formation energy at 0.157 eV/atom. The volume is 388 Å³/cell.

Geometry as CIF:
```
data_Nd8HoTm2
_space_group_name_H-M_alt 'P 1'
_space_group_IT_number 1
_space_group_name_Hall 'P 1'
_cell_length_a 8.557
_cell_length_b 8.557
_cell_length_c 5.477
_cell_angle_alpha 90.07
_cell_angle_beta 90.07
_cell_angle_gamma 104.77
loop_
_atom_site_label
_atom_site_type_symbol
_atom_site_fract_x
_atom_site_fract_y
_atom_site_fract_z
Nd1 Nd 0.165 0.165 0.000
Nd2 Nd 0.200 0.470 0.500
Nd3 Nd 0.247 0.753 0.000
Nd4 Nd 0.470 0.200 0.500
Nd5 Nd 0.530 0.800 0.500
Nd6 Nd 0.753 0.247 0.000
Nd7 Nd 0.800 0.530 0.500
Nd8 Nd 0.835 0.835 0.000
Ho1 Ho 0.500 0.500 0.000
Tm1 Tm 0.119 0.881 0.500
Tm2 Tm 0.881 0.119 0.500
```

---

(4)
The following is a PBE calculation of a relaxed structure of Cs2KLi, from the Alexandria database.

Results
As for the total energy: -1.0047 eV per atom. The magnetic moment comes out at 0.00 μB per cell. Its space group is No. 122. The calculation puts the formation energy at 0.175 eV/atom. The volume is 1274 Å³/cell.

Geometry as CIF:
```
data_Cs2KLi
_space_group_name_H-M_alt 'P 1'
_space_group_IT_number 1
_space_group_name_Hall 'P 1'
_cell_length_a 12.035
_cell_length_b 12.035
_cell_length_c 8.799
_cell_angle_alpha 90.00
_cell_angle_beta 90.00
_cell_angle_gamma 90.00
loop_
_atom_site_label
_atom_site_type_symbol
_atom_site_fract_x
_atom_site_fract_y
_atom_site_fract_z
Cs1 Cs 0.201 0.750 0.125
Cs2 Cs 0.250 0.201 0.875
Cs3 Cs 0.250 0.299 0.375
Cs4 Cs 0.299 0.750 0.625
Cs5 Cs 0.701 0.250 0.625
Cs6 Cs 0.750 0.701 0.375
Cs7 Cs 0.750 0.799 0.875
Cs8 Cs 0.799 0.250 0.125
K1 K 0.000 0.000 0.500
K2 K 0.000 0.500 0.750
K3 K 0.500 0.000 0.250
K4 K 0.500 0.500 0.000
Li1 Li 0.000 0.000 0.000
Li2 Li 0.000 0.500 0.250
Li3 Li 0.500 0.000 0.750
Li4 Li 0.500 0.500 0.500
```

---

(5)
The following is a PBE calculation of a relaxed structure of Cs4BaAg3Br12, from the Alexandria database.

Results
As for the total energy: -2.8265 eV per atom. The magnetic moment comes out at 0.00 μB per cell. Its space group is No. 229. The volume is 744 Å³/cell. The calculation puts the formation energy (no corrections) at -1.128 eV/atom.

Geometry as CIF:
```
data_Cs4BaAg3Br12
_space_group_name_H-M_alt 'P 1'
_space_group_IT_number 1
_space_group_name_Hall 'P 1'
_cell_length_a 9.886
_cell_length_b 9.886
_cell_length_c 9.886
_cell_angle_alpha 109.47
_cell_angle_beta 109.47
_cell_angle_gamma 109.47
loop_
_atom_site_label
_atom_site_type_symbol
_atom_site_fract_x
_atom_site_fract_y
_atom_site_fract_z
Cs1 Cs 0.000 0.000 0.500
Cs2 Cs 0.000 0.500 0.000
Cs3 Cs 0.500 0.000 0.000
Cs4 Cs 0.500 0.500 0.500
Ba1 Ba 0.000 0.000 0.000
Ag1 Ag 0.000 0.500 0.500
Ag2 Ag 0.500 0.000 0.500
Ag3 Ag 0.500 0.500 0.000
Br1 Br 0.000 0.270 0.270
Br2 Br 0.000 0.730 0.730
Br3 Br 0.250 0.500 0.750
Br4 Br 0.250 0.750 0.500
Br5 Br 0.270 0.000 0.270
Br6 Br 0.270 0.270 0.000
Br7 Br 0.500 0.250 0.750
Br8 Br 0.500 0.750 0.250
Br9 Br 0.730 0.000 0.730
Br10 Br 0.730 0.730 0.000
Br11 Br 0.750 0.250 0.500
Br12 Br 0.750 0.500 0.250
```

---

(6)
The following is a PBE calculation of a relaxed structure of ZrTa2Cl, from the Alexandria database.

Results
As for the total energy: -8.2948 eV per atom. The magnetic moment comes out at 0.00 μB per cell. Its space group is No. 166. The volume is 232 Å³/cell. The calculation puts the formation energy (no corrections) at 0.230 eV/atom.

Geometry as CIF:
```
data_ZrTa2Cl
_space_group_name_H-M_alt 'P 1'
_space_group_IT_number 1
_space_group_name_Hall 'P 1'
_cell_length_a 3.093
_cell_length_b 3.093
_cell_length_c 28.027
_cell_angle_alpha 90.00
_cell_angle_beta 90.00
_cell_angle_gamma 120.00
loop_
_atom_site_label
_atom_site_type_symbol
_atom_site_fract_x
_atom_site_fract_y
_atom_site_fract_z
Zr1 Zr 0.000 0.000 0.000
Zr2 Zr 0.333 0.667 0.667
Zr3 Zr 0.667 0.333 0.333
Ta1 Ta 0.000 0.000 0.245
Ta2 Ta 0.000 0.000 0.755
Ta3 Ta 0.333 0.667 0.422
Ta4 Ta 0.333 0.667 0.912
Ta5 Ta 0.667 0.333 0.088
Ta6 Ta 0.667 0.333 0.578
Cl1 Cl 0.000 0.000 0.500
Cl2 Cl 0.333 0.667 0.167
Cl3 Cl 0.667 0.333 0.833
```